[1]
PrErSn2 | GGA-PBE | relaxed

polymorph energy (0 for the lowest one)	0.086	eV/atom
SG	P4/mmm, No. 123
energy	-4.972	eV/atom
calculated formation energy	-0.63	eV per atom

```
4
Lattice="3.507 0.000 0.000 0.000 3.507 0.000 0.000 0.000 8.959" Properties=species:S:1:pos:R:3 pbc="T T T"
Sn 0.000 0.000 2.135
Sn 0.000 0.000 6.824
Er 1.754 1.754 0.000
Pr 1.754 1.754 4.479
```

[2]
Cs2NbCl4F2 | GGA-PBE | relaxed

SG	I4/mmm, No. 139
energy	-4.673	eV/atom
formation energy without anion corrections	-2.128	eV per atom

```
9
Lattice="-6.067 -3.126 -2.656 5.556 -4.395 1.857 -0.406 3.146 6.601" Properties=species:S:1:pos:R:3 pbc="T T T"
Cs 1.032 -4.072 1.715
Cs -1.949 -0.302 4.087
F 1.003 -0.243 1.646
Cl -1.615 -1.734 0.727
Cl 4.178 -2.651 2.954
F 4.148 -1.005 6.812
Cl 0.698 -2.640 5.075
Nb 0.000 0.000 0.000
Cl 0.973 1.403 5.504
```

[3]
HfFeSe3 | GGA-PBE | relaxed

polymorph energy (0 for the lowest one)	0.078	eV/atom
SG	Pm-3m, No. 221
energy	-5.628	eV/atom
formation energy without anion corrections	0.146	eV per atom

```
5
Lattice="4.651 0.000 0.000 0.000 4.651 0.000 0.000 0.000 4.651" Properties=species:S:1:pos:R:3 pbc="T T T"
Se 0.000 0.000 2.325
Fe 0.000 0.000 0.000
Hf 2.325 2.325 2.325
Se 0.000 2.325 0.000
Se 2.325 0.000 0.000
```

[4]
CaIr2Cl | GGA-PBE | relaxed

polymorph energy (0 for the lowest one)	0.173	eV/atom
SG	P4/mmm, No. 123
energy	-5.602	eV/atom
formation energy without anion corrections	-0.210	eV per atom

```
4
Lattice="6.080 0.000 0.000 0.000 3.648 0.000 0.000 0.000 3.648" Properties=species:S:1:pos:R:3 pbc="T T T"
Ir 0.000 1.824 1.824
Ca 3.040 1.824 0.000
Ir 0.000 0.000 0.000
Cl 3.040 0.000 1.824
```

[5]
Pm6C2SBr3 | GGA-PBE | relaxed

SG	C2/m, No. 12
energy	-5.841	eV/atom
formation energy without anion corrections	-1.166	eV per atom

```
12
Lattice="-2.703 -2.091 5.819 -0.529 -3.825 -5.534 7.349 -1.371 1.617" Properties=species:S:1:pos:R:3 pbc="T T T"
Br 2.058 -3.644 0.951
C -1.978 -2.669 2.034
S 0.000 0.000 0.000
Pm 0.977 -1.976 -1.644
Pm 3.140 -5.311 3.545
Pm 5.041 -2.847 1.400
Br 2.787 -4.225 -2.854
Pm -0.925 -4.440 0.501
Pm 3.910 -5.926 -0.479
Pm 0.206 -1.361 2.380
C -1.254 -3.247 -1.749
Br 1.330 -3.062 4.755
```

[6]
TbDy4In2 | GGA-PBE | relaxed

polymorph energy (0 for the lowest one)	0.011	eV/atom
SG	P2_1/c, No. 14
energy	-4.189	eV/atom
calculated formation energy	-0.12	eV per atom

```
14
Lattice="-10.055 0.200 3.889 0.263 -6.744 1.026 1.913 5.218 4.677" Properties=species:S:1:pos:R:3 pbc="T T T"
Dy -6.767 -0.608 5.858
Dy -3.340 0.059 1.319
Dy -6.342 2.019 8.406
In -3.792 -2.032 5.223
In 1.087 1.241 2.772
Tb -4.896 -3.272 2.457
Dy -1.850 2.666 3.455
Dy -4.540 -1.386 8.273
In -8.967 -2.567 6.820
Dy -6.030 -3.992 6.137
Dy -1.538 -3.346 1.186
Dy -1.113 -0.718 3.734
Tb 0.000 0.000 0.000
In -4.088 0.705 4.369
```

[7]
LaCuH4 | GGA-PBE | relaxed

SG	C2/m, No. 12
energy	-4.027	eV/atom

```
6
Lattice="-2.872 2.524 1.078 -3.350 0.533 -2.948 -3.901 -1.872 1.214" Properties=species:S:1:pos:R:3 pbc="T T T"
H -4.198 1.840 -0.884
H -5.944 -0.639 0.214
H -5.674 0.542 -1.830
Cu -5.348 -0.601 1.746
H -4.469 0.659 1.159
La -3.635 -0.661 -0.874
```

[8]
YScMo2 | GGA-PBE | relaxed

polymorph energy (0 for the lowest one)	0.000	eV/atom
SG	P4mm, No. 99
energy	-8.552	eV/atom
calculated formation energy	0.06	eV per atom

```
4
Lattice="-0.337 1.985 -2.567 -1.224 -2.468 -1.747 -7.333 1.911 2.439" Properties=species:S:1:pos:R:3 pbc="T T T"
Mo -2.394 0.179 -1.621
Y -6.598 1.275 -0.222
Mo -0.352 0.092 0.117
Sc -3.216 0.838 1.070
```

[9]
Ti6FeRh2 | GGA-PBE | relaxed

SG	Immm, No. 71
energy	-8.002	eV/atom
calculated formation energy	-0.16	eV per atom

```
9
Lattice="4.319 0.000 -0.169 0.000 5.979 0.000 -1.926 -2.989 6.199" Properties=species:S:1:pos:R:3 pbc="T T T"
Fe 0.000 0.000 0.000
Ti 0.075 4.526 1.962
Ti 2.160 4.566 -0.085
Ti 2.160 1.412 -0.085
Rh 2.238 2.989 1.950
Ti 2.318 -1.537 4.068
Ti 2.318 1.537 4.068
Rh 0.155 0.000 4.080
Ti 0.075 1.453 1.962
```

[10]
CaMnCoSi2 | GGA-PBE | relaxed

SG	I-4m2, No. 119
energy	-6.318	eV/atom
formation energy without anion corrections	-0.494	eV per atom

```
5
Lattice="-2.300 1.122 2.988 2.536 -1.594 2.551 2.379 4.638 -2.501" Properties=species:S:1:pos:R:3 pbc="T T T"
Co 0.098 2.763 1.628
Si 0.748 0.875 2.837
Si 1.867 3.292 0.201
Mn 2.516 1.405 1.410
Ca 0.000 0.000 0.000
```

[11]
Pm6RhPb3 | GGA-PBE | relaxed

SG	P2_1/m, No. 11
energy	-5.101	eV/atom
calculated formation energy	-0.40	eV per atom

```
20
Lattice="-3.210 1.101 1.712 4.710 -2.881 10.685 3.155 13.711 -2.906" Properties=species:S:1:pos:R:3 pbc="T T T"
Pm 5.306 5.465 8.542
Pb 2.396 6.156 6.860
Pb 6.396 10.840 7.127
Pm 0.763 3.039 1.585
Pm 2.469 11.650 -0.757
Pb 2.259 5.775 2.630
Pm 2.045 8.492 4.700
Pm 2.187 0.281 10.248
Pm 2.381 8.592 1.047
Pb 2.636 0.437 6.770
Pb 2.020 11.494 2.720
Pm -0.651 6.466 0.949
Pm 4.909 10.998 4.237
Pm 3.892 8.892 7.905
Pm 2.274 3.339 8.444
Rh 0.093 10.095 0.008
Pm -0.253 0.933 5.253
Pb -1.741 1.090 2.364
Pm 2.610 3.439 4.791
Rh 4.562 1.836 9.482
```

[12]
KNbVN3 | GGA-PBE | relaxed

SG	P2_1/m, No. 11
energy	-8.235	eV/atom
formation energy without anion corrections	-0.692	eV per atom

```
12
Lattice="-0.310 -3.298 0.370 6.443 -0.135 4.200 -6.500 1.129 4.617" Properties=species:S:1:pos:R:3 pbc="T T T"
N -4.631 0.111 4.613
N -2.245 0.068 6.231
Nb -3.465 -1.548 5.817
N 4.264 -2.414 4.574
N -2.698 -1.877 3.524
K -0.211 -1.692 7.259
V -3.436 -0.143 3.353
N 1.878 -2.371 2.956
V 3.070 -2.160 5.834
N 2.331 -0.426 5.663
K -0.156 -0.611 1.928
Nb 3.098 -0.755 3.370
```

energy of number 9 (Ti6FeRh2)?
-8.002 eV/atom